Arrangement P

DFT (PBE-GGA) results for an optimized crystal structure of Rb2Zn.

It has space group Fd-3m (No. 227, origin choice 2), with a = 11.704 Å, b = 11.704 Å, c = 11.704 Å, α = 90.00°, β = 90.00° and γ = 90.00°. The inequivalent atoms are Rb at (0.000, 0.000, 0.000) and Zn at (0.125, 0.125, 0.625).

The calculation puts the mass density at 1.958 g cm⁻³. Its crystal system is cubic.

Arrangement Q

DFT (PBE-GGA) results for an optimized crystal structure of Rb2Zn.

It has space group Fd-3m (No. 227, origin choice 2), with a = 15.657 Å, b = 15.657 Å, c = 15.657 Å, α = 90.00°, β = 90.00° and γ = 90.00°. The inequivalent atoms are Rb at (0.000, 0.000, 0.000) and Zn at (0.125, 0.125, 0.125).

The calculation puts the mass density at 0.818 g cm⁻³. Its crystal system is cubic.

Relative energy table, unit meV per atom: arrangement P 0; arrangement Q 106